(1)
A PBEsol-optimized structure of Li2ZrCd2. Source: Alexandria via LeMat-Bulk, functional SCAN. Values from VASP.

Calculated values
ΔH_f (0 K), eV/f.u.: -0.95
Total energy, eV/atom: -19.45
SG: P4/mbm, No. 127

Geometry as Quantum ESPRESSO input:
```
&SYSTEM
  ibrav = 0, nat = 10, ntyp = 3
/
ATOMIC_SPECIES
Li 6.94 Li.upf
Zr 91.22 Zr.upf
Cd 112.41 Cd.upf
ATOMIC_POSITIONS crystal
Li 0.117 0.383 0.000
Li 0.383 0.883 0.000
Li 0.617 0.117 0.000
Li 0.883 0.617 0.000
Zr 0.000 0.000 0.000
Zr 0.500 0.500 0.000
Cd 0.182 0.682 0.500
Cd 0.318 0.182 0.500
Cd 0.682 0.818 0.500
Cd 0.818 0.318 0.500
CELL_PARAMETERS angstrom
7.912 0.000 0.000
0.000 7.912 0.000
0.000 0.000 2.856
```

(2)
A PBEsol-optimized structure of MnGe2O6. Source: Alexandria via LeMat-Bulk, functional SCAN. Values from VASP.

Calculated values
Total energy, eV/atom: -12.21
SG: C2/c, No. 15

Geometry as Quantum ESPRESSO input:
```
&SYSTEM
  ibrav = 0, nat = 18, ntyp = 3
/
ATOMIC_SPECIES
Mn 54.94 Mn.upf
Ge 72.64 Ge.upf
O 16.00 O.upf
ATOMIC_POSITIONS crystal
Mn 0.086 0.914 0.750
Mn 0.914 0.086 0.250
Ge 0.202 0.388 0.735
Ge 0.388 0.202 0.235
Ge 0.612 0.798 0.765
Ge 0.798 0.612 0.265
O 0.019 0.180 0.630
O 0.064 0.640 0.748
O 0.180 0.019 0.130
O 0.333 0.399 0.062
O 0.360 0.936 0.752
O 0.399 0.333 0.562
O 0.601 0.667 0.438
O 0.640 0.064 0.248
O 0.667 0.601 0.938
O 0.820 0.981 0.870
O 0.936 0.360 0.252
O 0.981 0.820 0.370
CELL_PARAMETERS angstrom
4.916 -4.280 0.000
4.916 4.280 0.000
-1.945 0.000 5.080
```

(3)
A PBEsol-optimized structure of KCaRh2. Source: Alexandria via LeMat-Bulk, functional SCAN. Values from VASP.

Calculated values
ΔH_f (0 K), eV/f.u.: 0.18
E above lowest polymorph, eV/atom: 0.000
Total energy, eV/atom: -21.34
SG: R3m, No. 160

Geometry as Quantum ESPRESSO input:
```
&SYSTEM
  ibrav = 0, nat = 12, ntyp = 3
/
ATOMIC_SPECIES
K 39.10 K.upf
Ca 40.08 Ca.upf
Rh 102.91 Rh.upf
ATOMIC_POSITIONS crystal
K 0.000 0.000 0.000
K 0.333 0.667 0.667
K 0.667 0.333 0.333
Ca 0.000 0.000 0.170
Ca 0.333 0.667 0.836
Ca 0.667 0.333 0.503
Rh 0.000 0.000 0.432
Rh 0.000 0.000 0.765
Rh 0.333 0.667 0.098
Rh 0.333 0.667 0.432
Rh 0.667 0.333 0.099
Rh 0.667 0.333 0.765
CELL_PARAMETERS angstrom
4.218 0.000 0.000
-2.109 3.653 0.000
0.000 0.000 23.982
```

(4)
A PBEsol-optimized structure of SrMnTe. Source: Alexandria via LeMat-Bulk, functional SCAN. Values from VASP.

Calculated values
Total energy, eV/atom: -26.58
SG: P-6m2, No. 187

Geometry as Quantum ESPRESSO input:
```
&SYSTEM
  ibrav = 0, nat = 3, ntyp = 3
/
ATOMIC_SPECIES
Sr 87.62 Sr.upf
Mn 54.94 Mn.upf
Te 127.60 Te.upf
ATOMIC_POSITIONS crystal
Sr 0.000 0.000 0.000
Mn 0.667 0.333 0.500
Te 0.333 0.667 0.500
CELL_PARAMETERS angstrom
4.528 0.000 0.000
-2.264 3.922 0.000
0.000 0.000 4.446
```

(5)
A PBEsol-optimized structure of BaPPbS2. Source: Alexandria via LeMat-Bulk, functional SCAN. Values from VASP.

Calculated values
Total energy, eV/atom: -29.42
SG: P4/mmm, No. 123

Geometry as Quantum ESPRESSO input:
```
&SYSTEM
  ibrav = 0, nat = 5, ntyp = 4
/
ATOMIC_SPECIES
Ba 137.33 Ba.upf
P 30.97 P.upf
Pb 207.20 Pb.upf
S 32.06 S.upf
ATOMIC_POSITIONS crystal
Ba 0.000 0.000 0.000
P 0.500 0.500 0.000
Pb 0.500 0.500 0.500
S 0.000 0.500 0.500
S 0.500 0.000 0.500
CELL_PARAMETERS angstrom
5.235 0.000 0.000
0.000 5.235 0.000
0.000 0.000 5.086
```

(6)
A PBEsol-optimized structure of ReRu2Pt. Source: Alexandria via LeMat-Bulk, functional SCAN. Values from VASP.

Calculated values
ΔH_f (0 K), eV/f.u.: -0.03
E above lowest polymorph, eV/atom: 0.038
Total energy, eV/atom: -52.74
SG: R-3m, No. 166

Geometry as Quantum ESPRESSO input:
```
&SYSTEM
  ibrav = 0, nat = 12, ntyp = 3
/
ATOMIC_SPECIES
Re 186.21 Re.upf
Ru 101.07 Ru.upf
Pt 195.08 Pt.upf
ATOMIC_POSITIONS crystal
Re 0.000 0.000 0.000
Re 0.333 0.667 0.667
Re 0.667 0.333 0.333
Ru 0.000 0.000 0.253
Ru 0.000 0.000 0.747
Ru 0.333 0.667 0.414
Ru 0.333 0.667 0.919
Ru 0.667 0.333 0.081
Ru 0.667 0.333 0.586
Pt 0.000 0.000 0.500
Pt 0.333 0.667 0.167
Pt 0.667 0.333 0.833
CELL_PARAMETERS angstrom
2.707 0.000 0.000
-1.354 2.345 0.000
0.000 0.000 26.603
```

(7)
A PBEsol-optimized structure of TaInRh2. Source: Alexandria via LeMat-Bulk, functional SCAN. Values from VASP.

Calculated values
ΔH_f (0 K), eV/f.u.: -2.13
Total energy, eV/atom: -42.41
SG: P4/mmm, No. 123

Geometry as Quantum ESPRESSO input:
```
&SYSTEM
  ibrav = 0, nat = 4, ntyp = 3
/
ATOMIC_SPECIES
Ta 180.95 Ta.upf
In 114.82 In.upf
Rh 102.91 Rh.upf
ATOMIC_POSITIONS crystal
Ta 0.000 0.000 0.000
In 0.000 0.000 0.500
Rh 0.500 0.500 0.241
Rh 0.500 0.500 0.759
CELL_PARAMETERS angstrom
2.928 0.000 0.000
0.000 2.928 0.000
0.000 0.000 7.372
```

(8)
A PBEsol-optimized structure of MnZnIn2Br. Source: Alexandria via LeMat-Bulk, functional SCAN. Values from VASP.

Calculated values
Total energy, eV/atom: -22.87
SG: P4/mmm, No. 123

Geometry as Quantum ESPRESSO input:
```
&SYSTEM
  ibrav = 0, nat = 5, ntyp = 4
/
ATOMIC_SPECIES
Mn 54.94 Mn.upf
Zn 65.41 Zn.upf
In 114.82 In.upf
Br 79.90 Br.upf
ATOMIC_POSITIONS crystal
Mn 0.000 0.000 0.000
Zn 0.500 0.500 0.000
In 0.000 0.500 0.500
In 0.500 0.000 0.500
Br 0.000 0.000 0.500
CELL_PARAMETERS angstrom
5.775 0.000 0.000
0.000 5.775 0.000
0.000 0.000 4.486
```

(9)
A PBEsol-optimized structure of LiZn2Br. Source: Alexandria via LeMat-Bulk, functional SCAN. Values from VASP.

Calculated values
E above lowest polymorph, eV/atom: 0.664
Total energy, eV/atom: -12.02
SG: Fm-3m, No. 225

Geometry as Quantum ESPRESSO input:
```
&SYSTEM
  ibrav = 0, nat = 16, ntyp = 3
/
ATOMIC_SPECIES
Li 6.94 Li.upf
Zn 65.41 Zn.upf
Br 79.90 Br.upf
ATOMIC_POSITIONS crystal
Li 0.000 0.000 0.000
Li 0.000 0.500 0.500
Li 0.500 0.000 0.500
Li 0.500 0.500 0.000
Zn 0.250 0.250 0.250
Zn 0.250 0.250 0.750
Zn 0.250 0.750 0.250
Zn 0.250 0.750 0.750
Zn 0.750 0.250 0.250
Zn 0.750 0.250 0.750
Zn 0.750 0.750 0.250
Zn 0.750 0.750 0.750
Br 0.000 0.000 0.500
Br 0.000 0.500 0.000
Br 0.500 0.000 0.000
Br 0.500 0.500 0.500
CELL_PARAMETERS angstrom
7.191 0.000 0.000
0.000 7.191 0.000
0.000 0.000 7.191
```

(10)
A PBEsol-optimized structure of TiPSN2. Source: Alexandria via LeMat-Bulk, functional SCAN. Values from VASP.

Calculated values
Total energy, eV/atom: -10.33
SG: P4/mmm, No. 123

Geometry as Quantum ESPRESSO input:
```
&SYSTEM
  ibrav = 0, nat = 5, ntyp = 4
/
ATOMIC_SPECIES
Ti 47.87 Ti.upf
P 30.97 P.upf
S 32.06 S.upf
N 14.01 N.upf
ATOMIC_POSITIONS crystal
Ti 0.000 0.000 0.000
P 0.500 0.500 0.500
S 0.000 0.000 0.500
N 0.000 0.500 0.000
N 0.500 0.000 0.000
CELL_PARAMETERS angstrom
3.785 0.000 0.000
0.000 3.785 0.000
0.000 0.000 4.961
```

(11)
A PBEsol-optimized structure of Ba7Ga4Sb9. Source: Alexandria via LeMat-Bulk, functional SCAN. Values from VASP.

Calculated values
Total energy, eV/atom: -34.75
SG: Pmmn, No. 59

Geometry as Quantum ESPRESSO input:
```
&SYSTEM
  ibrav = 0, nat = 40, ntyp = 3
/
ATOMIC_SPECIES
Ba 137.33 Ba.upf
Ga 69.72 Ga.upf
Sb 121.76 Sb.upf
ATOMIC_POSITIONS crystal
Ba 0.021 0.126 0.043
Ba 0.021 0.374 0.043
Ba 0.250 0.036 0.539
Ba 0.250 0.464 0.539
Ba 0.250 0.750 0.575
Ba 0.479 0.126 0.043
Ba 0.479 0.374 0.043
Ba 0.521 0.626 0.957
Ba 0.521 0.874 0.957
Ba 0.750 0.250 0.425
Ba 0.750 0.536 0.461
Ba 0.750 0.964 0.461
Ba 0.979 0.626 0.957
Ba 0.979 0.874 0.957
Ga 0.069 0.250 0.557
Ga 0.250 0.622 0.242
Ga 0.250 0.878 0.242
Ga 0.431 0.250 0.557
Ga 0.569 0.750 0.443
Ga 0.750 0.122 0.758
Ga 0.750 0.378 0.758
Ga 0.931 0.750 0.443
Sb 0.040 0.617 0.454
Sb 0.040 0.883 0.454
Sb 0.250 0.250 0.287
Sb 0.250 0.250 0.829
Sb 0.250 0.507 0.017
Sb 0.250 0.750 0.044
Sb 0.250 0.993 0.017
Sb 0.460 0.617 0.454
Sb 0.460 0.883 0.454
Sb 0.540 0.117 0.546
Sb 0.540 0.383 0.546
Sb 0.750 0.007 0.983
Sb 0.750 0.250 0.956
Sb 0.750 0.493 0.983
Sb 0.750 0.750 0.171
Sb 0.750 0.750 0.713
Sb 0.960 0.117 0.546
Sb 0.960 0.383 0.546
CELL_PARAMETERS angstrom
10.814 0.000 0.000
0.000 17.975 0.000
0.000 0.000 7.083
```

(12)
A PBEsol-optimized structure of YAsSe2Cl. Source: Alexandria via LeMat-Bulk, functional SCAN. Values from VASP.

Calculated values
Total energy, eV/atom: -19.30
SG: P4/mmm, No. 123

Geometry as Quantum ESPRESSO input:
```
&SYSTEM
  ibrav = 0, nat = 5, ntyp = 4
/
ATOMIC_SPECIES
Y 88.91 Y.upf
As 74.92 As.upf
Se 78.96 Se.upf
Cl 35.45 Cl.upf
ATOMIC_POSITIONS crystal
Y 0.000 0.000 0.000
As 0.000 0.000 0.500
Se 0.000 0.500 0.000
Se 0.500 0.000 0.000
Cl 0.500 0.500 0.500
CELL_PARAMETERS angstrom
5.270 0.000 0.000
0.000 5.270 0.000
0.000 0.000 5.593
```

(13)
A PBEsol-optimized structure of ZnH2I. Source: Alexandria via LeMat-Bulk, functional SCAN. Values from VASP.

Calculated values
Total energy, eV/atom: -13.96
SG: Fd-3m, No. 227

Geometry as Quantum ESPRESSO input:
```
&SYSTEM
  ibrav = 0, nat = 8, ntyp = 3
/
ATOMIC_SPECIES
Zn 65.41 Zn.upf
H 1.01 H.upf
I 126.90 I.upf
ATOMIC_POSITIONS crystal
Zn 0.125 0.125 0.125
Zn 0.875 0.875 0.875
H 0.000 0.000 0.000
H 0.000 0.000 0.500
H 0.000 0.500 0.000
H 0.500 0.000 0.000
I 0.375 0.375 0.375
I 0.625 0.625 0.625
CELL_PARAMETERS angstrom
0.000 3.902 3.902
3.902 0.000 3.902
3.902 3.902 0.000
```

(14)
A PBEsol-optimized structure of BeIn2Ni. Source: Alexandria via LeMat-Bulk, functional SCAN. Values from VASP.

Calculated values
ΔH_f (0 K), eV/f.u.: 1.07
E above lowest polymorph, eV/atom: 0.206
Total energy, eV/atom: -21.56
SG: I4/mmm, No. 139

Geometry as Quantum ESPRESSO input:
```
&SYSTEM
  ibrav = 0, nat = 8, ntyp = 3
/
ATOMIC_SPECIES
Be 9.01 Be.upf
In 114.82 In.upf
Ni 58.69 Ni.upf
ATOMIC_POSITIONS crystal
Be 0.000 0.000 0.000
Be 0.500 0.500 0.500
In 0.000 0.500 0.250
In 0.000 0.500 0.750
In 0.500 0.000 0.250
In 0.500 0.000 0.750
Ni 0.000 0.000 0.500
Ni 0.500 0.500 0.000
CELL_PARAMETERS angstrom
4.091 0.000 0.000
0.000 4.091 0.000
0.000 0.000 7.371
```

(15)
A PBEsol-optimized structure of K2HI2ClO6. Source: Alexandria via LeMat-Bulk, functional SCAN. Values from VASP.

Calculated values
Total energy, eV/atom: -12.62
SG: Pca2_1, No. 29

Geometry as Quantum ESPRESSO input:
```
&SYSTEM
  ibrav = 0, nat = 48, ntyp = 5
/
ATOMIC_SPECIES
K 39.10 K.upf
H 1.01 H.upf
I 126.90 I.upf
Cl 35.45 Cl.upf
O 16.00 O.upf
ATOMIC_POSITIONS crystal
K 0.017 0.021 0.000
K 0.234 0.549 0.992
K 0.266 0.549 0.492
K 0.483 0.021 0.500
K 0.517 0.979 0.000
K 0.734 0.451 0.992
K 0.766 0.451 0.492
K 0.983 0.979 0.500
H 0.111 0.274 0.261
H 0.389 0.274 0.761
H 0.611 0.726 0.261
H 0.889 0.726 0.761
I 0.034 0.503 0.740
I 0.219 0.048 0.734
I 0.281 0.048 0.234
I 0.466 0.503 0.240
I 0.534 0.497 0.740
I 0.719 0.952 0.734
I 0.781 0.952 0.234
I 0.966 0.497 0.240
Cl 0.125 0.772 0.272
Cl 0.375 0.772 0.772
Cl 0.625 0.228 0.272
Cl 0.875 0.228 0.772
O 0.041 0.255 0.272
O 0.052 0.453 0.946
O 0.113 0.183 0.679
O 0.132 0.665 0.699
O 0.198 0.006 0.941
O 0.210 0.281 0.248
O 0.290 0.281 0.748
O 0.302 0.006 0.441
O 0.368 0.665 0.199
O 0.387 0.183 0.179
O 0.448 0.453 0.446
O 0.459 0.255 0.772
O 0.541 0.745 0.272
O 0.552 0.547 0.946
O 0.613 0.817 0.679
O 0.632 0.335 0.699
O 0.698 0.994 0.941
O 0.710 0.719 0.248
O 0.790 0.719 0.748
O 0.802 0.994 0.441
O 0.868 0.335 0.199
O 0.887 0.817 0.179
O 0.948 0.547 0.446
O 0.959 0.745 0.772
CELL_PARAMETERS angstrom
14.831 0.000 0.000
0.000 6.448 0.000
0.000 0.000 8.558
```

(16)
A PBEsol-optimized structure of Bi8Rh8O27. Source: Alexandria via LeMat-Bulk, functional SCAN. Values from VASP.

Calculated values
Total energy, eV/atom: -25.92
SG: R3m, No. 160

Geometry as Quantum ESPRESSO input:
```
&SYSTEM
  ibrav = 0, nat = 43, ntyp = 3
/
ATOMIC_SPECIES
Bi 208.98 Bi.upf
Rh 102.91 Rh.upf
O 16.00 O.upf
ATOMIC_POSITIONS crystal
Bi 0.000 0.000 0.000
Bi 0.249 0.747 0.747
Bi 0.256 0.256 0.738
Bi 0.256 0.738 0.256
Bi 0.494 0.494 0.494
Bi 0.738 0.256 0.256
Bi 0.747 0.249 0.747
Bi 0.747 0.747 0.249
Rh 0.248 0.248 0.248
Rh 0.498 0.999 0.999
Rh 0.500 0.500 0.996
Rh 0.500 0.996 0.500
Rh 0.748 0.748 0.748
Rh 0.996 0.500 0.500
Rh 0.999 0.498 0.999
Rh 0.999 0.999 0.498
O 0.001 0.414 0.414
O 0.068 0.068 0.068
O 0.082 0.082 0.498
O 0.082 0.498 0.082
O 0.124 0.705 0.705
O 0.208 0.208 0.624
O 0.208 0.624 0.208
O 0.290 0.290 0.877
O 0.290 0.877 0.290
O 0.376 0.789 0.789
O 0.414 0.001 0.414
O 0.414 0.414 0.001
O 0.495 0.916 0.916
O 0.498 0.082 0.082
O 0.554 0.554 0.554
O 0.584 0.584 0.993
O 0.584 0.993 0.584
O 0.624 0.208 0.208
O 0.705 0.124 0.705
O 0.705 0.705 0.124
O 0.789 0.376 0.789
O 0.789 0.789 0.376
O 0.877 0.290 0.290
O 0.916 0.495 0.916
O 0.916 0.916 0.495
O 0.937 0.937 0.937
O 0.993 0.584 0.584
CELL_PARAMETERS angstrom
3.596 2.076 11.737
-3.596 2.076 11.737
0.000 -4.153 11.737
```

(17)
A PBEsol-optimized structure of AgAu. Source: Alexandria via LeMat-Bulk, functional SCAN. Values from VASP.

Calculated values
ΔH_f (0 K), eV/f.u.: 0.02
Total energy, eV/atom: -50.25
SG: P2_13, No. 198

Geometry as Quantum ESPRESSO input:
```
&SYSTEM
  ibrav = 0, nat = 8, ntyp = 2
/
ATOMIC_SPECIES
Ag 107.87 Ag.upf
Au 196.97 Au.upf
ATOMIC_POSITIONS crystal
Ag 0.095 0.405 0.595
Ag 0.405 0.595 0.095
Ag 0.595 0.095 0.405
Ag 0.905 0.905 0.905
Au 0.097 0.903 0.403
Au 0.403 0.097 0.903
Au 0.597 0.597 0.597
Au 0.903 0.403 0.097
CELL_PARAMETERS angstrom
5.172 0.000 0.000
0.000 5.172 0.000
0.000 0.000 5.172
```

(18)
A PBEsol-optimized structure of CdAuCl2. Source: Alexandria via LeMat-Bulk, functional SCAN. Values from VASP.

Calculated values
E above lowest polymorph, eV/atom: 0.000
Total energy, eV/atom: -29.39
SG: Amm2, No. 38

Geometry as Quantum ESPRESSO input:
```
&SYSTEM
  ibrav = 0, nat = 8, ntyp = 3
/
ATOMIC_SPECIES
Cd 112.41 Cd.upf
Au 196.97 Au.upf
Cl 35.45 Cl.upf
ATOMIC_POSITIONS crystal
Cd 0.000 0.000 0.000
Cd 0.000 0.500 0.500
Au 0.500 0.000 0.771
Au 0.500 0.500 0.271
Cl 0.000 0.000 0.550
Cl 0.000 0.500 0.050
Cl 0.500 0.000 0.232
Cl 0.500 0.500 0.732
CELL_PARAMETERS angstrom
3.464 0.000 0.000
0.000 5.296 0.000
0.000 0.000 9.231
```

(19)
A PBEsol-optimized structure of KSrIn2. Source: Alexandria via LeMat-Bulk, functional SCAN. Values from VASP.

Calculated values
ΔH_f (0 K), eV/f.u.: -1.08
E above lowest polymorph, eV/atom: 0.000
Total energy, eV/atom: -24.61
SG: Fm-3m, No. 225

Geometry as Quantum ESPRESSO input:
```
&SYSTEM
  ibrav = 0, nat = 16, ntyp = 3
/
ATOMIC_SPECIES
K 39.10 K.upf
Sr 87.62 Sr.upf
In 114.82 In.upf
ATOMIC_POSITIONS crystal
K 0.000 0.000 0.000
K 0.000 0.500 0.500
K 0.500 0.000 0.500
K 0.500 0.500 0.000
Sr 0.000 0.000 0.500
Sr 0.000 0.500 0.000
Sr 0.500 0.000 0.000
Sr 0.500 0.500 0.500
In 0.250 0.250 0.250
In 0.250 0.250 0.750
In 0.250 0.750 0.250
In 0.250 0.750 0.750
In 0.750 0.250 0.250
In 0.750 0.250 0.750
In 0.750 0.750 0.250
In 0.750 0.750 0.750
CELL_PARAMETERS angstrom
8.064 0.000 0.000
0.000 8.064 0.000
0.000 0.000 8.064
```

(20)
A PBEsol-optimized structure of SrZrTl2. Source: Alexandria via LeMat-Bulk, functional SCAN. Values from VASP.

Calculated values
ΔH_f (0 K), eV/f.u.: -0.66
Total energy, eV/atom: -49.59
SG: I4/mmm, No. 139

Geometry as Quantum ESPRESSO input:
```
&SYSTEM
  ibrav = 0, nat = 8, ntyp = 3
/
ATOMIC_SPECIES
Sr 87.62 Sr.upf
Zr 91.22 Zr.upf
Tl 204.38 Tl.upf
ATOMIC_POSITIONS crystal
Sr 0.000 0.000 0.000
Sr 0.500 0.500 0.500
Zr 0.000 0.000 0.500
Zr 0.500 0.500 0.000
Tl 0.000 0.500 0.250
Tl 0.000 0.500 0.750
Tl 0.500 0.000 0.250
Tl 0.500 0.000 0.750
CELL_PARAMETERS angstrom
4.935 0.000 0.000
0.000 4.935 0.000
0.000 0.000 8.556
```